SrGaGe2Pd | GGA-PBE | relaxed

Values from the calculation:
- ρ: 6.54 Mg/m³
- Spin magnetization: 0.0 μB/f.u.
- DFT formation energy: -0.546 eV/atom

Cell: 6.2172 6.2172 6.2172 Å, 138.65 138.65 59.91°
Last column: nearest neighbours and their distance in Å.
Positions (direct):
Sr 0.0000 0.0000 0.0000  8 Ge 3.36, 4 Pd 3.47, 4 Ga 3.47
Ga 0.2500 0.7500 0.5000  4 Ge 2.61
Ge 0.3806 0.3806 0.0000  1 Ge 2.57, 2 Pd 2.61, 2 Ga 2.61
Ge 0.6194 0.6194 0.0000  1 Ge 2.57, 2 Pd 2.61, 2 Ga 2.61
Pd 0.7500 0.2500 0.5000  4 Ge 2.61